# 1
! PBE La2NpS3, relaxed; values from VASP
! formation energy without anion corrections: -1.877 eV/atom
! SG: C2/m
&SYSTEM
  ibrav = 0, nat = 12, ntyp = 3
/
ATOMIC_SPECIES
La 138.91 La.upf
Np 237.00 Np.upf
S 32.06 S.upf
CELL_PARAMETERS angstrom
3.531 -6.115 0.000
3.531 6.115 0.000
-2.353 0.000 6.673
ATOMIC_POSITIONS angstrom
La 0.000 0.000 0.000
La 2.354 4.114 3.336
La 2.354 0.000 3.336
La 2.354 -4.114 3.336
Np 3.531 2.045 0.000
Np 3.531 -2.045 0.000
S 1.216 2.101 1.593
S 0.077 0.000 5.103
S 1.216 -2.101 1.593
S 3.492 2.101 5.080
S 4.632 0.000 1.569
S 3.492 -2.101 5.080

=====

# 2
! PBE Y2ReMo2, relaxed; values from VASP
! SG: P4/mbm
! energy relative to the elements: 0.224 eV/atom
&SYSTEM
  ibrav = 0, nat = 10, ntyp = 3
/
ATOMIC_SPECIES
Y 88.91 Y.upf
Re 186.21 Re.upf
Mo 95.94 Mo.upf
CELL_PARAMETERS angstrom
6.575 0.000 0.000
0.000 6.575 0.000
0.000 0.000 4.954
ATOMIC_POSITIONS angstrom
Y 1.162 2.125 0.000
Y 2.125 5.413 0.000
Y 4.450 1.162 0.000
Y 5.413 4.450 0.000
Re 0.000 0.000 2.477
Re 3.288 3.288 2.477
Mo 0.893 4.180 2.477
Mo 2.395 0.893 2.477
Mo 4.180 5.682 2.477
Mo 5.682 2.395 2.477

=====

# 3
! PBE Pm5NdDy2, relaxed; values from VASP
! SG: C2/c
! energy relative to the elements: 0.155 eV/atom
! E above lowest polymorph: 141 meV/atom
&SYSTEM
  ibrav = 0, nat = 16, ntyp = 3
/
ATOMIC_SPECIES
Pm 145.00 Pm.upf
Nd 144.24 Nd.upf
Dy 162.50 Dy.upf
CELL_PARAMETERS angstrom
8.410 -5.027 0.000
8.410 5.027 0.000
-1.018 0.000 6.472
ATOMIC_POSITIONS angstrom
Pm 7.646 4.479 4.854
Pm 3.342 0.889 0.115
Pm 2.833 -0.889 3.351
Pm 5.919 0.945 5.570
Pm 6.428 -0.945 2.334
Pm 9.374 0.945 4.139
Pm 9.883 -0.945 0.902
Pm 12.969 0.889 3.121
Pm 12.459 -0.889 6.358
Pm 8.156 -4.479 1.618
Nd 3.696 2.513 3.236
Nd 4.205 -2.513 0.000
Dy 6.728 2.467 2.434
Dy 9.583 2.467 0.802
Dy 6.219 -2.467 5.670
Dy 9.074 -2.467 4.038

=====

# 4
! PBE Ga3HgCl3, relaxed; values from VASP
! formation energy without anion corrections: -0.577 eV/atom
! SG: P-1
! E above lowest polymorph: 0 meV/atom
&SYSTEM
  ibrav = 0, nat = 14, ntyp = 3
/
ATOMIC_SPECIES
Ga 69.72 Ga.upf
Hg 200.59 Hg.upf
Cl 35.45 Cl.upf
CELL_PARAMETERS angstrom
7.765 0.000 0.000
2.853 7.251 0.000
0.000 3.567 7.865
ATOMIC_POSITIONS angstrom
Ga 1.446 3.714 2.023
Ga 3.179 7.793 3.546
Ga 5.127 8.123 5.847
Ga 5.491 2.695 2.019
Ga 7.439 3.025 4.319
Ga 9.172 7.103 5.842
Hg 3.815 4.982 3.488
Hg 6.802 5.836 4.377
Cl 1.471 3.391 5.855
Cl 3.368 7.368 7.565
Cl 2.046 1.133 1.997
Cl 8.572 9.685 5.869
Cl 7.250 3.450 0.301
Cl 9.147 7.427 2.011

=====

# 5
! PBE YFeSe, relaxed; values from VASP
! formation energy without anion corrections: -0.399 eV/atom
! SG: Fmm2
! E above lowest polymorph: 295 meV/atom
&SYSTEM
  ibrav = 0, nat = 3, ntyp = 3
/
ATOMIC_SPECIES
Y 88.91 Y.upf
Fe 55.84 Fe.upf
Se 78.96 Se.upf
CELL_PARAMETERS angstrom
0.000 2.445 4.949
2.440 0.000 4.949
2.440 2.445 0.000
ATOMIC_POSITIONS angstrom
Y 0.000 0.000 0.000
Fe 2.440 2.445 3.083
Se 2.440 2.445 6.901

=====

# 6
! PBE Ti4VIr3, relaxed; values from VASP
! SG: Pmmm
! energy relative to the elements: -0.717 eV/atom
&SYSTEM
  ibrav = 0, nat = 8, ntyp = 3
/
ATOMIC_SPECIES
Ti 47.87 Ti.upf
V 50.94 V.upf
Ir 192.22 Ir.upf
CELL_PARAMETERS angstrom
3.166 0.000 0.000
0.000 4.355 0.000
0.000 0.000 8.680
ATOMIC_POSITIONS angstrom
Ti 0.000 0.000 0.000
Ti 0.000 0.000 4.340
Ti 0.000 2.178 2.126
Ti 0.000 2.178 6.555
V 1.583 2.178 0.000
Ir 1.583 0.000 2.193
Ir 1.583 0.000 6.487
Ir 1.583 2.178 4.340

=====

# 7
! PBE Na2PaSi3Pt4, relaxed; values from VASP
! formation energy without anion corrections: -0.594 eV/atom
! SG: P-4m2
&SYSTEM
  ibrav = 0, nat = 10, ntyp = 4
/
ATOMIC_SPECIES
Na 22.99 Na.upf
Pa 231.04 Pa.upf
Si 28.09 Si.upf
Pt 195.08 Pt.upf
CELL_PARAMETERS angstrom
4.329 0.000 0.000
0.000 4.329 0.000
0.000 0.000 10.414
ATOMIC_POSITIONS angstrom
Na 0.000 2.164 2.348
Na 2.164 0.000 8.066
Pa 0.000 0.000 5.207
Si 0.000 2.164 9.245
Si 2.164 0.000 1.169
Si 2.164 2.164 5.207
Pt 0.000 0.000 0.000
Pt 0.000 2.164 6.885
Pt 2.164 0.000 3.529
Pt 2.164 2.164 0.000

=====

# 8
! PBE Er3HgS, relaxed; values from VASP
! formation energy without anion corrections: -0.775 eV/atom
! SG: Pm-3m
! E above lowest polymorph: 223 meV/atom
&SYSTEM
  ibrav = 0, nat = 5, ntyp = 3
/
ATOMIC_SPECIES
Er 167.26 Er.upf
Hg 200.59 Hg.upf
S 32.06 S.upf
CELL_PARAMETERS angstrom
5.094 0.000 0.000
0.000 5.094 0.000
0.000 0.000 5.094
ATOMIC_POSITIONS angstrom
Er 0.000 0.000 2.547
Er 0.000 2.547 0.000
Er 2.547 0.000 0.000
Hg 2.547 2.547 2.547
S 0.000 0.000 0.000

=====

# 9
! PBE ScMn3, relaxed; values from VASP
! SG: Cmmm
! energy relative to the elements: 0.336 eV/atom
&SYSTEM
  ibrav = 0, nat = 4, ntyp = 2
/
ATOMIC_SPECIES
Sc 44.96 Sc.upf
Mn 54.94 Mn.upf
CELL_PARAMETERS angstrom
2.791 -3.760 0.000
2.791 3.760 0.000
0.000 0.000 2.892
ATOMIC_POSITIONS angstrom
Sc 0.000 0.000 0.000
Mn 1.396 1.880 1.446
Mn 1.396 -1.880 1.446
Mn 2.791 0.000 0.000

=====

# 10
! PBE BaMnTe2Au, relaxed; values from VASP
! formation energy without anion corrections: 0.003 eV/atom
! SG: P4/mmm
&SYSTEM
  ibrav = 0, nat = 5, ntyp = 4
/
ATOMIC_SPECIES
Ba 137.33 Ba.upf
Mn 54.94 Mn.upf
Te 127.60 Te.upf
Au 196.97 Au.upf
CELL_PARAMETERS angstrom
4.913 0.000 0.000
0.000 4.913 0.000
0.000 0.000 6.424
ATOMIC_POSITIONS angstrom
Ba 0.000 0.000 0.000
Mn 0.000 0.000 3.212
Te 0.000 2.456 3.212
Te 2.456 0.000 3.212
Au 2.456 2.456 0.000

=====

# 11
! PBE ThMgPd, relaxed; values from VASP
! SG: P-6m2
! energy relative to the elements: -0.406 eV/atom
&SYSTEM
  ibrav = 0, nat = 3, ntyp = 3
/
ATOMIC_SPECIES
Th 232.04 Th.upf
Mg 24.30 Mg.upf
Pd 106.42 Pd.upf
CELL_PARAMETERS angstrom
4.769 0.000 0.000
-2.384 4.130 0.000
0.000 0.000 3.501
ATOMIC_POSITIONS angstrom
Th 0.000 0.000 0.000
Mg 0.000 2.753 1.751
Pd 2.384 1.377 1.751

=====

# 12
! PBE ErSnSbO6, relaxed; values from VASP
! formation energy without anion corrections: -1.988 eV/atom
! SG: P-31c
&SYSTEM
  ibrav = 0, nat = 18, ntyp = 4
/
ATOMIC_SPECIES
Er 167.26 Er.upf
Sn 118.71 Sn.upf
Sb 121.76 Sb.upf
O 16.00 O.upf
CELL_PARAMETERS angstrom
5.447 0.000 0.000
-2.723 4.717 0.000
0.000 0.000 8.924
ATOMIC_POSITIONS angstrom
Er 0.000 3.145 2.231
Er 2.723 1.572 6.693
Sn 0.000 0.000 0.000
Sn 0.000 0.000 4.462
Sb 0.000 3.145 6.693
Sb 2.723 1.572 2.231
O -0.779 1.637 5.588
O -1.696 3.224 7.798
O 0.779 1.637 7.798
O -0.916 4.574 5.588
O 1.807 0.143 1.126
O 1.028 1.493 3.336
O 1.696 3.224 5.588
O 0.916 4.574 7.798
O 3.640 0.143 3.336
O 1.944 3.080 1.126
O 4.419 1.493 1.126
O 3.503 3.080 3.336

=====

# 13
! PBE AcTh2Ga6, relaxed; values from VASP
! SG: P6/mmm
! energy relative to the elements: -0.624 eV/atom
&SYSTEM
  ibrav = 0, nat = 9, ntyp = 3
/
ATOMIC_SPECIES
Ac 227.00 Ac.upf
Th 232.04 Th.upf
Ga 69.72 Ga.upf
CELL_PARAMETERS angstrom
7.481 0.000 0.000
-3.740 6.479 0.000
0.000 0.000 4.365
ATOMIC_POSITIONS angstrom
Ac 0.000 0.000 0.000
Th 0.000 4.319 0.000
Th 3.740 2.160 0.000
Ga -1.259 2.180 2.183
Ga -2.482 4.298 2.183
Ga 2.517 0.000 2.183
Ga 1.259 2.180 2.183
Ga 4.963 0.000 2.183
Ga 2.482 4.298 2.183

=====

Taking the records one at a time from the top gives total DFT energy (no corrections) values of -7.7404, -9.1841, -4.5606, -2.7085, -6.5357, -9.1271, -5.8503, -4.3985, -8.1244, -4.1278, -5.1415, -6.7037, -4.7469 eV per atom.
Taking the records one at a time from the top gives magnetization values of 0.74, 0.00, 0.00, 0.00, 0.94, 0.01, 0.00, 0.00, 2.12, 0.00, 0.00, 0.00, 0.00 μB/atom.